## VPS2Cl (PBE)

Data for a geometry-optimized VPS2Cl structure.

Cell and atoms, written as POSCAR:
```
VPS2Cl
1.0
4.641 0.000 0.000
0.000 4.641 0.000
0.000 0.000 4.695
V P S Cl
1 1 2 1
Cartesian
0.000 0.000 0.000
2.320 2.320 2.348
0.000 2.320 0.000
2.320 0.000 0.000
0.000 0.000 2.348
```

Properties
Density of states at the Fermi level (states/eV/f.u.): 2.0
Formation energy from raw total energies (meV per atom): 212